No. 1
# FeSnS2, relaxed, DFT PBE
# Formation energy from raw total energies: 0.066 eV/atom
# Crystal system: trigonal
data_FeSnS2
_space_group_name_H-M_alt 'R -3 m'
_space_group_IT_number 166
_space_group_name_Hall '-R 3 2"'
_cell_length_a 4.0585
_cell_length_b 4.0585
_cell_length_c 21.9940
_cell_angle_alpha 90.00
_cell_angle_beta 90.00
_cell_angle_gamma 120.00
loop_
_atom_site_label
_atom_site_type_symbol
_atom_site_fract_x
_atom_site_fract_y
_atom_site_fract_z
Fe1 Fe 0.0000 0.0000 0.0000
Sn1 Sn 0.0000 0.0000 0.5000
S1 S 0.0000 0.0000 0.0982

No. 2
# YIn3C, relaxed, DFT PBE
# Energy relative to the elements: 0.626 eV per atom
# Crystal system: cubic
data_YIn3C
_space_group_name_H-M_alt 'P m -3 m'
_space_group_IT_number 221
_space_group_name_Hall '-P 4 2 3'
_cell_length_a 4.852
_cell_length_b 4.852
_cell_length_c 4.852
_cell_angle_alpha 90.00
_cell_angle_beta 90.00
_cell_angle_gamma 90.00
loop_
_atom_site_label
_atom_site_type_symbol
_atom_site_fract_x
_atom_site_fract_y
_atom_site_fract_z
Y1 Y 0.000 0.000 0.000
In1 In 0.000 0.500 0.500
C1 C 0.500 0.500 0.500

Calculated total DFT energy (no corrections) (eV per atom), listed in the same order as above: -5.114 -4.155